# 1
First-principles (PBE) data for a geometry-optimized Ho2ReTe6 structure, as listed in OQMD.

Values from the calculation:
SG: P-62m, No. 189

Cell: 8.331 8.331 3.959 Å, 90.00 90.00 120.00°
Sites, in units of the cell vectors:
Te 0.232 0.000 0.500
Te 0.430 0.430 0.000
Te 0.570 0.000 0.000
Te 0.768 0.768 0.500
Te 0.000 0.570 0.000
Te 0.000 0.232 0.500
Ho 0.667 0.333 0.500
Ho 0.333 0.667 0.500
Re 0.000 0.000 0.000

---

# 2
First-principles (PBE) data for a geometry-optimized Ho5ReTe3 structure, as listed in OQMD.

Values from the calculation:
offset from the most stable computed form: 0.000 eV per atom
SG: P-62m, No. 189

Cell: 8.710 8.710 3.714 Å, 90.00 90.00 120.00°
Site moments in Bohr magnetons follow the coordinates.
Sites, in units of the cell vectors:
Ho 0.000 0.234 0.500  0.03
Ho 0.667 0.333 0.500  0.11
Ho 0.766 0.766 0.500  0.05
Ho 0.333 0.667 0.500  0.11
Ho 0.234 0.000 0.500  0.04
Te 0.426 0.426 0.000  0.00
Te 0.000 0.574 0.000  0.00
Te 0.574 0.000 0.000  0.00
Re 0.000 0.000 0.000  0.04

---

# 3
First-principles (PBE) data for a geometry-optimized Ho5ReTe3 structure, as listed in OQMD.

Values from the calculation:
offset from the most stable computed form: 0.157 eV per atom
SG: P-62m, No. 189

Cell: 8.150 8.150 4.209 Å, 90.00 90.00 120.00°
Sites, in units of the cell vectors:
Te 0.750 0.750 0.500
Te 0.000 0.250 0.500
Te 0.250 0.000 0.500
Ho 0.341 0.341 0.000
Ho 0.000 0.659 0.000
Ho 0.333 0.667 0.500
Ho 0.667 0.333 0.500
Ho 0.659 0.000 0.000
Re 0.000 0.000 0.000

---

no.,magnetization (μB/f.u.),total DFT energy (no corrections) (eV/atom)
1,0.00,-5.04
2,0.50,-5.39
3,0.01,-5.23